No. 1
# PBE Er2Sc4N, optimized geometry
data_Er2Sc4N
_cell_length_a 4.4003
_cell_length_b 4.4003
_cell_length_c 9.2295
_cell_angle_alpha 76.21
_cell_angle_beta 76.21
_cell_angle_gamma 90.00
_space_group_name_H-M_alt 'P 1'
_space_group_IT_number 1
_space_group_name_Hall 'P 1'
loop_
_atom_site_label
_atom_site_type_symbol
_atom_site_fract_x
_atom_site_fract_y
_atom_site_fract_z
Sc1 Sc 0.1250 0.1250 0.7499
Sc2 Sc 0.8750 0.8750 0.2501
Sc3 Sc 0.0000 0.5000 0.0000
Sc4 Sc 0.5000 0.0000 0.0000
N1 N 0.0000 0.0000 0.0000
Er1 Er 0.3196 0.3196 0.3607
Er2 Er 0.6804 0.6804 0.6393
# ΔE_f (raw): -0.35 eV per atom

=====

No. 2
# PBE Er6ScCd2, optimized geometry
data_Er6ScCd2
_cell_length_a 3.6572
_cell_length_b 6.4336
_cell_length_c 11.4765
_cell_angle_alpha 75.31
_cell_angle_beta 80.83
_cell_angle_gamma 73.49
_space_group_name_H-M_alt 'P 1'
_space_group_IT_number 1
_space_group_name_Hall 'P 1'
loop_
_atom_site_label
_atom_site_type_symbol
_atom_site_fract_x
_atom_site_fract_y
_atom_site_fract_z
Er1 Er 0.6795 0.5202 0.1208
Er2 Er 0.3205 0.4798 0.8792
Er3 Er 0.3118 0.7893 0.5870
Er4 Er 0.9822 0.6958 0.3398
Er5 Er 0.0178 0.3042 0.6602
Er6 Er 0.6882 0.2107 0.4130
Sc1 Sc 0.0000 0.0000 0.0000
Cd1 Cd 0.3581 0.0886 0.1951
Cd2 Cd 0.6419 0.9114 0.8049
# Energy of formation from the pure elements: -2.63 kcal/mol of atoms

=====

No. 3
# PBE Dy2CdCo, optimized geometry
data_Dy2CdCo
_cell_length_a 3.7575
_cell_length_b 3.7575
_cell_length_c 9.8353
_cell_angle_alpha 78.99
_cell_angle_beta 78.99
_cell_angle_gamma 60.00
_space_group_name_H-M_alt 'P 1'
_space_group_IT_number 1
_space_group_name_Hall 'P 1'
loop_
_atom_site_label
_atom_site_type_symbol
_atom_site_fract_x
_atom_site_fract_y
_atom_site_fract_z
Cd1 Cd 0.0000 0.0000 0.0000
Co1 Co 0.5000 0.5000 0.5000
Dy1 Dy 0.1156 0.1156 0.6532
Dy2 Dy 0.8844 0.8844 0.3468
# Energy of formation from the pure elements: 1.12 kcal/mol of atoms
# Energy above the most stable polymorph in this dataset: 304 meV/atom

=====

Looking at size of the total moment for the records above, in order, we have 0.00 0.00 0.00 μB per cell.